(1)
The following is a PBE calculation of an optimized crystal structure of Pu4HS5, from Alexandria via LeMat-Bulk.

Structure (CIF):
```
data_Pu4HS5
_chemical_formula_sum 'Pu4 H1 S5'
_cell_length_a 9.441
_cell_length_b 9.441
_cell_length_c 9.441
_cell_angle_alpha 156.32
_cell_angle_beta 135.65
_cell_angle_gamma 50.88
_space_group_name_H-M_alt 'P 1'
_space_group_IT_number 1
loop_
_space_group_symop_operation_xyz
'x,y,z'
loop_
_atom_site_label
_atom_site_type_symbol
_atom_site_fract_x
_atom_site_fract_y
_atom_site_fract_z
Pu1 Pu 0.220 0.220 0.000
Pu2 Pu 0.232 0.500 0.732
Pu3 Pu 0.768 0.500 0.268
Pu4 Pu 0.780 0.780 0.000
H1 H 0.000 0.000 0.000
S1 S 0.077 0.338 0.739
S2 S 0.401 0.662 0.739
S3 S 0.500 0.000 0.500
S4 S 0.599 0.338 0.261
S5 S 0.923 0.662 0.261
```

***

(2)
The following is a PBE calculation of an optimized crystal structure of KZn2AsW, from Alexandria via LeMat-Bulk.

Structure (CIF):
```
data_KZn2AsW
_chemical_formula_sum 'K1 Zn2 As1 W1'
_cell_length_a 5.184
_cell_length_b 5.184
_cell_length_c 4.841
_cell_angle_alpha 90.00
_cell_angle_beta 90.00
_cell_angle_gamma 90.00
_space_group_name_H-M_alt 'P 1'
_space_group_IT_number 1
loop_
_space_group_symop_operation_xyz
'x,y,z'
loop_
_atom_site_label
_atom_site_type_symbol
_atom_site_fract_x
_atom_site_fract_y
_atom_site_fract_z
K1 K 0.000 0.000 0.000
Zn1 Zn 0.000 0.500 0.500
Zn2 Zn 0.500 0.000 0.500
As1 As 0.500 0.500 0.500
W1 W 0.500 0.500 0.000
```

Calculated values
Energy of formation from the pure elements in eV/f.u.: 4.69

***

(3)
The following is a PBE calculation of an optimized crystal structure of Tb3SmN4, from Alexandria via LeMat-Bulk.

Structure (CIF):
```
data_Tb3SmN4
_chemical_formula_sum 'Tb3 Sm1 N4'
_cell_length_a 4.981
_cell_length_b 4.981
_cell_length_c 4.981
_cell_angle_alpha 90.00
_cell_angle_beta 90.00
_cell_angle_gamma 90.00
_space_group_name_H-M_alt 'P 1'
_space_group_IT_number 1
loop_
_space_group_symop_operation_xyz
'x,y,z'
loop_
_atom_site_label
_atom_site_type_symbol
_atom_site_fract_x
_atom_site_fract_y
_atom_site_fract_z
Tb1 Tb 0.000 0.000 0.500
Tb2 Tb 0.000 0.500 0.000
Tb3 Tb 0.500 0.000 0.000
Sm1 Sm 0.500 0.500 0.500
N1 N 0.000 0.000 0.000
N2 N 0.000 0.500 0.500
N3 N 0.500 0.000 0.500
N4 N 0.500 0.500 0.000
```

***

(4)
The following is a PBE calculation of an optimized crystal structure of Tb11Sm9Dy4, from Alexandria via LeMat-Bulk.

Structure (CIF):
```
data_Tb11Sm9Dy4
_chemical_formula_sum 'Tb11 Sm9 Dy4'
_cell_length_a 15.267
_cell_length_b 15.267
_cell_length_c 3.691
_cell_angle_alpha 90.00
_cell_angle_beta 90.00
_cell_angle_gamma 113.24
_space_group_name_H-M_alt 'P 1'
_space_group_IT_number 1
loop_
_space_group_symop_operation_xyz
'x,y,z'
loop_
_atom_site_label
_atom_site_type_symbol
_atom_site_fract_x
_atom_site_fract_y
_atom_site_fract_z
Tb1 Tb 0.000 0.000 0.000
Tb2 Tb 0.045 0.406 0.000
Tb3 Tb 0.161 0.839 0.000
Tb4 Tb 0.291 0.291 0.000
Tb5 Tb 0.368 0.632 0.000
Tb6 Tb 0.406 0.045 0.000
Tb7 Tb 0.594 0.955 0.000
Tb8 Tb 0.632 0.368 0.000
Tb9 Tb 0.709 0.709 0.000
Tb10 Tb 0.839 0.161 0.000
Tb11 Tb 0.955 0.594 0.000
Sm1 Sm 0.066 0.214 0.500
Sm2 Sm 0.164 0.631 0.500
Sm3 Sm 0.214 0.066 0.500
Sm4 Sm 0.369 0.836 0.500
Sm5 Sm 0.500 0.500 0.500
Sm6 Sm 0.631 0.164 0.500
Sm7 Sm 0.786 0.934 0.500
Sm8 Sm 0.836 0.369 0.500
Sm9 Sm 0.934 0.786 0.500
Dy1 Dy 0.244 0.445 0.500
Dy2 Dy 0.445 0.244 0.500
Dy3 Dy 0.555 0.756 0.500
Dy4 Dy 0.756 0.555 0.500
```

Calculated values
Energy of formation from the pure elements in eV/f.u.: 1.26

***

no.,electronic total energy (eV/cell),Fermi-level density of states (states/eV/atom)
1,-94.158,3.699
2,-16.554,0.606
3,-64.785,0.101
4,-110.551,1.308